# LiPr2PaP4

Crystalline LiPr2PaP4 at its relaxed geometry (PBE, Alexandria).

```
LiPr2PaP4
1.0
-1.1485 2.3167 -3.2434
-6.1375 -3.3173 -0.1961
-0.5682 5.6254 4.2193
Li Pr Pa P
1 2 1 4
Cartesian
-3.6430 -0.5003 -1.7198
-0.8584 3.9711 0.4880
-3.3528 1.1541 2.0116
0.0000 0.0000 0.0000
-2.1775 1.6604 -0.6954
-5.6767 2.9644 1.4752
-1.9025 3.5107 3.1813
-4.8032 -1.2025 0.8419
```

Summary:
- Electronic total energy: -6.43 eV per atom
- DFT formation energy: -1.11 eV per atom
- Symmetry: P2/m, No. 10
- D(E_F): 2.71 states/eV/cell
- Crystal system: monoclinic

---

# NaBiF3

Crystalline NaBiF3 at its relaxed geometry (PBE, Alexandria).

```
NaBiF3
1.0
4.7641 0.0000 0.0000
0.0000 4.7641 0.0000
0.0000 0.0000 4.7641
Na Bi F
1 1 3
Cartesian
2.3821 2.3821 2.3821
0.0000 0.0000 0.0000
0.0000 2.3821 0.0000
0.0000 0.0000 2.3821
2.3821 0.0000 0.0000
```

Summary:
- ΔE_f (raw): -1.9083 eV/atom
- Electronic total energy: -4.07 eV per atom
- Symmetry: Pm-3m, No. 221
- D(E_F): 4.17 states/eV/cell
- Crystal system: cubic

---

# NbCoSn3

Crystalline NbCoSn3 at its relaxed geometry (PBE, Alexandria).

```
NbCoSn3
1.0
-3.1971 3.4869 -0.9801
-3.4755 -2.5853 2.1395
1.0197 2.1209 4.2193
Nb Co Sn
1 1 3
Cartesian
-2.8264 1.5112 2.6893
0.0000 0.0000 0.0000
-1.7377 -1.2927 1.0697
0.5098 1.0605 2.1096
-1.5986 1.7434 -0.4900
```

Summary:
- Electronic total energy: -5.13 eV per atom
- DFT formation energy: 0.71 eV per atom
- Symmetry: Pm-3m, No. 221
- D(E_F): 9.47 states/eV/cell
- Crystal system: cubic

---

# NbNi2Mo2

Crystalline NbNi2Mo2 at its relaxed geometry (PBE, Alexandria).

```
NbNi2Mo2
1.0
-0.3545 -3.9113 -6.3218
6.7798 2.4259 -1.8811
1.0831 -2.0774 1.2246
Ni Mo Nb
4 4 2
Cartesian
5.0505 -0.0844 -1.7568
5.9017 -1.6721 -5.2031
2.4580 -3.4784 -5.2215
1.6068 -1.8907 -1.7753
5.8157 0.6522 -4.0374
3.9092 -1.9223 -6.7185
0.6097 -2.1376 -4.1655
2.5162 0.4368 -1.4844
0.0000 0.0000 0.0000
3.2127 -0.7427 -4.1015
```

Summary:
- Electronic total energy: -8.52 eV per atom
- DFT formation energy: 0.14 eV per atom
- Symmetry: P4/mbm, No. 127
- D(E_F): 12.55 states/eV/cell
- Crystal system: tetragonal

---

# HgTeIr2

Crystalline HgTeIr2 at its relaxed geometry (PBE, Alexandria).

```
HgTeIr2
1.0
-0.0471 4.7102 1.2664
-4.4240 0.3807 2.0188
3.4332 -3.2780 1.1226
Hg Ir Te
1 2 1
Cartesian
-1.6132 -0.1759 2.3920
-4.4707 5.0905 3.2849
-2.2359 2.5459 1.6429
0.5753 1.9889 2.0158
```

Summary:
- ΔE_f (raw): 0.5738 eV/atom
- Electronic total energy: -4.72 eV per atom
- Symmetry: I4/mmm, No. 139
- D(E_F): 1.72 states/eV/cell
- Crystal system: tetragonal

---

# K2ZrF6

Crystalline K2ZrF6 at its relaxed geometry (PBE, Alexandria).

```
K2ZrF6
1.0
-1.8104 -5.9640 2.4919
2.4865 0.4875 -6.2158
6.5445 -0.9229 2.5456
F K Zr
12 4 2
Cartesian
5.4159 -2.2150 0.7881
5.2108 -4.4447 -0.9651
1.8047 -4.1845 -1.9664
2.0097 -1.9547 -0.2132
4.0451 -2.9426 2.7923
4.8089 -6.3788 0.6233
3.1754 -3.4568 -3.9705
2.4117 -0.0206 -1.8016
5.0193 -0.3633 -4.0602
2.3801 -0.3931 -5.3847
2.2012 -6.0362 2.8819
4.8405 -6.0063 4.2064
7.5565 -2.7389 -0.7740
4.2982 -2.0771 -1.8915
-0.3360 -3.6605 -0.4043
2.9224 -4.3223 0.7132
7.1973 -0.5012 -3.9063
0.0233 -5.8982 2.7281
```

Summary:
- ΔE_f (raw): -3.3823 eV/atom
- Electronic total energy: -5.82 eV per atom
- Symmetry: C2/c, No. 15
- D(E_F): 0.00 states/eV/cell
- Crystal system: monoclinic

---

# RbTlGaBi2

Crystalline RbTlGaBi2 at its relaxed geometry (PBE, Alexandria).

```
RbTlGaBi2
1.0
5.7136 0.0000 0.0000
0.0000 5.7689 0.0000
0.0000 0.0000 5.7136
Tl Ga Bi Rb
1 1 2 1
Cartesian
0.0000 2.8845 0.0000
0.0000 0.0000 0.0000
0.0000 0.0000 2.8568
2.8568 0.0000 0.0000
2.8568 2.8845 2.8568
```

Summary:
- Electronic total energy: -2.80 eV per atom
- DFT formation energy: 0.03 eV per atom
- Symmetry: P4/mmm, No. 123
- D(E_F): 3.26 states/eV/cell
- Crystal system: tetragonal

---

# TlGaO2

Crystalline TlGaO2 at its relaxed geometry (PBE, Alexandria).

```
TlGaO2
1.0
-2.4902 -1.0921 1.4448
1.6623 -3.5550 0.1779
4.2009 2.4182 9.0695
Tl Ga O
2 2 4
Cartesian
0.1354 -2.5613 2.2862
1.8676 0.5211 4.3214
3.2507 1.3755 8.4706
2.1036 -1.3701 7.6997
3.9176 -0.4950 8.2363
2.8154 -1.1297 5.8519
1.4141 0.4905 7.9472
-1.6810 -1.2915 1.2598
```

Summary:
- ΔE_f (raw): -1.3437 eV/atom
- Electronic total energy: -5.17 eV per atom
- Symmetry: Pmn2_1, No. 31
- D(E_F): 0.00 states/eV/cell
- Crystal system: orthorhombic

---

# ZnReAgSe2

Crystalline ZnReAgSe2 at its relaxed geometry (PBE, Alexandria).

```
ZnReAgSe2
1.0
4.8910 0.0000 0.0000
0.0000 4.7679 0.0000
0.0000 0.0000 4.8910
Re Zn Se Ag
1 1 2 1
Cartesian
2.4455 2.3840 2.4455
0.0000 0.0000 0.0000
0.0000 0.0000 2.4455
2.4455 0.0000 0.0000
0.0000 2.3840 0.0000
```

Summary:
- ΔE_f (raw): 1.3329 eV/atom
- Electronic total energy: -3.38 eV per atom
- Symmetry: P4/mmm, No. 123
- D(E_F): 2.29 states/eV/cell
- Crystal system: tetragonal

---

# La2Pm9Pr

Crystalline La2Pm9Pr at its relaxed geometry (PBE, Alexandria).

```
La2Pm9Pr
1.0
3.5771 0.0000 0.0000
0.0000 11.6324 0.0000
0.0000 -5.8162 10.0739
La Pm Pr
2 9 1
Cartesian
0.0000 0.0000 6.7160
0.0000 5.8162 3.3580
0.0000 -2.9081 5.0370
0.0000 2.9081 5.0370
0.0000 5.8162 0.0000
1.7885 2.9991 1.7315
1.7885 -2.8171 8.3424
1.7885 0.0000 3.4631
1.7885 5.8162 6.6109
1.7885 8.6333 1.7315
1.7885 2.8171 8.3424
0.0000 0.0000 0.0000
```

Summary:
- Electronic total energy: -4.73 eV per atom
- DFT formation energy: 0.05 eV per atom
- Symmetry: P6/mmm, No. 191
- D(E_F): 16.39 states/eV/cell
- Crystal system: hexagonal

---

# CeMgIn2

Crystalline CeMgIn2 at its relaxed geometry (PBE, Alexandria).

```
CeMgIn2
1.0
-1.7213 -1.6720 -2.2629
-2.0280 -2.4281 0.9329
-9.1936 5.6094 0.4448
Mg Ce In
1 1 2
Cartesian
0.0000 0.0000 0.0000
-6.4715 0.7547 -0.4426
-9.8375 1.2464 -0.6493
-3.1054 0.2629 -0.2359
```

Summary:
- Electronic total energy: -3.41 eV per atom
- DFT formation energy: -0.15 eV per atom
- Symmetry: R-3m, No. 166
- D(E_F): 5.78 states/eV/cell
- Crystal system: trigonal

---

# AcLa2Nd6Dy

Crystalline AcLa2Nd6Dy at its relaxed geometry (PBE, Alexandria).

```
AcLa2Nd6Dy
1.0
2.5136 6.9277 -6.7833
-4.5974 -5.0757 -6.0359
-4.7077 5.9006 5.1334
Ac La Nd Dy
2 4 12 2
Cartesian
-3.9711 -3.1411 -7.5254
-2.8205 10.8937 -0.1603
-5.7891 3.1681 -4.3883
-2.2470 -0.0969 -1.1448
-1.0024 4.5845 -3.2974
-4.5446 7.8495 -6.5410
-3.9381 4.1157 2.6775
-4.1782 6.9326 -0.0932
-2.8535 3.6369 -10.3632
-2.6134 0.8200 -7.5926
-5.7733 -0.2895 -5.8242
-2.2143 -1.4722 -4.6267
-1.0182 8.0421 -1.8616
-4.5773 9.2248 -3.0590
-5.2975 0.1710 -2.5109
-2.7278 1.8277 -4.1135
-1.4940 7.5816 -5.1749
-4.0637 5.9249 -3.5722
-4.0343 3.1536 -1.1200
-2.7572 4.5990 -6.5657
```

Summary:
- Electronic total energy: -4.60 eV per atom
- DFT formation energy: 0.11 eV per atom
- Symmetry: C2/c, No. 15
- D(E_F): 31.11 states/eV/cell
- Crystal system: monoclinic

---

> D(E_F) of number 11 (CeMgIn2)?

5.78 states/eV/cell

---

> Which formula does entry 4 have?

NbNi2Mo2